Entry from Alexandria: RbBiO3 after structural relaxation (PBE).

Results
- E_tot: -5.0012 eV/atom
- Raw formation energy: -1.06 eV per atom
- D(E_F): 5.0 states/eV per cell

Lattice parameters (Å, degrees): 3.6219 4.3881 12.6001 86.72 81.75 90.00
Space group P1 (No. 1)
Unique sites:
Rb: 0.0000 0.0000 0.0000 x1
Rb: 0.1463 0.3876 0.7065 x1
Bi: 0.3759 0.4602 0.2554 x1
Bi: 0.7782 0.9280 0.4512 x1
O: 0.2252 0.9104 0.5580 x1
O: 0.3524 0.9524 0.3030 x1
O: 0.5559 0.5657 0.8877 x1
O: 0.5901 0.8189 0.8192 x1
O: 0.8023 0.4358 0.4036 x1
O: 0.9291 0.4776 0.1487 x1

---

Entry from Alexandria: RbBiO3 after structural relaxation (PBE).

Results
- E_tot: -4.8520 eV/atom
- Raw formation energy: -0.91 eV per atom
- D(E_F): 0.0 states/eV per cell

Lattice parameters (Å, degrees): 4.7787 6.2331 6.8504 90.00 90.00 90.00
Space group Pmmn (No. 59, origin choice 2)
Unique sites:
Rb: 0.2500 0.2500 0.0726 x2
Bi: 0.2500 0.7500 0.4207 x2
O: 0.2500 0.1264 0.5591 x4
O: 0.2500 0.7500 0.1281 x2

---

Entry from Alexandria: RbBiO3 after structural relaxation (PBE).

Results
- E_tot: -4.7698 eV/atom
- Raw formation energy: -0.83 eV per atom
- D(E_F): 2.7 states/eV per cell

Lattice parameters (Å, degrees): 4.0427 4.0427 26.8696 90.00 90.00 90.00
Space group I-4m2 (No. 119)
Unique sites:
Rb: 0.0000 0.0000 0.1163 x4
Bi: 0.0000 0.0000 0.5000 x2
Bi: 0.0000 0.5000 0.2500 x2
O: 0.0000 0.1762 0.3210 x8
O: 0.0000 0.5000 0.5374 x4

---

Entry from Alexandria: RbBi3O after structural relaxation (PBE).

Results
- Energy relative to the lowest polymorph listed for this composition: 0 meV/atom
- E_tot: -3.6754 eV/atom
- Raw formation energy: -0.16 eV per atom
- D(E_F): 4.6 states/eV per cell

Lattice parameters (Å, degrees): 5.1851 5.1851 5.1851 90.00 90.00 90.00
Space group Pm-3m (No. 221)
Unique sites:
Rb: 0.0000 0.0000 0.0000 x1
Bi: 0.0000 0.5000 0.5000 x3
O: 0.5000 0.5000 0.5000 x1

---

Entry from Alexandria: RbBiO3 after structural relaxation (PBE).

Results
- E_tot: -5.0029 eV/atom
- Raw formation energy: -1.06 eV per atom
- D(E_F): 6.1 states/eV per cell

Lattice parameters (Å, degrees): 5.6613 4.3241 8.8510 90.00 92.70 90.00
Space group Pm (No. 6)
Unique sites:
Rb: 0.0000 0.0000 0.0000 x1
Rb: 0.4424 0.0000 0.3880 x1
Bi: 0.5010 0.5000 0.8326 x1
Bi: 0.9788 0.5000 0.5551 x1
O: 0.0903 0.5000 0.2393 x1
O: 0.2976 0.5000 0.1710 x1
O: 0.3566 0.5000 0.6031 x1
O: 0.4796 0.0000 0.8912 x1
O: 0.8728 0.5000 0.7874 x1
O: 0.9301 0.0000 0.5031 x1

---

Entry from Alexandria: RbBiO3 after structural relaxation (PBE).

Results
- E_tot: -4.8131 eV/atom
- Raw formation energy: -0.87 eV per atom
- D(E_F): 3.0 states/eV per cell

Lattice parameters (Å, degrees): 3.7652 16.1403 6.1151 90.00 90.00 90.00
Space group Cmcm (No. 63)
Unique sites:
Rb: 0.0000 0.1746 0.2500 x4
Bi: 0.0000 0.4552 0.2500 x4
O: 0.0000 0.0000 0.0000 x4
O: 0.1907 0.1669 0.7500 x8

---

Entry from Alexandria: Rb5BiO4 after structural relaxation (PBE).

Results
- E_tot: -3.8885 eV/atom
- Raw formation energy: -1.03 eV per atom

Lattice parameters (Å, degrees): 17.8123 3.8787 7.7628 90.00 106.00 90.00
Space group C2/m (No. 12)
Unique sites:
Rb: 0.0000 0.0000 0.0000 x2
Rb: 0.1537 0.5000 0.8299 x4
Rb: 0.1598 0.5000 0.3749 x4
Bi: 0.0000 0.0000 0.5000 x2
O: 0.0006 0.5000 0.2818 x4
O: 0.1422 0.0000 0.5966 x4

---

Entry from Alexandria: RbBiO3 after structural relaxation (PBE).

Results
- E_tot: -4.8126 eV/atom
- Raw formation energy: -0.87 eV per atom
- D(E_F): 0.0 states/eV per cell

Lattice parameters (Å, degrees): 5.4413 14.9477 6.0033 90.00 90.00 90.00
Space group Cmcm (No. 63)
Unique sites:
Rb: 0.0000 0.1517 0.2500 x4
Bi: 0.0000 0.4013 0.2500 x4
O: 0.0000 0.5000 0.0000 x4
O: 0.1372 0.1736 0.7500 x8